No. 1
Ba4TePBr2 | GGA-PBE | relaxed

Computed properties:
Uncorrected formation energy ... -1636 meV/atom
Calculated total energy ... -32.68 eV/cell

Lattice parameters (Å, degrees): 8.3053 4.7966 8.4281 90.00 109.36 90.00
Space group P2/m (No. 10)
Inequivalent atoms, fractional coordinates:
Ba  0.2228  0.0000  0.2237 [2 per cell]
Ba  0.2316  0.5000  0.7645 [2 per cell]
Te  0.0000  0.0000  0.5000 [1 per cell]
P  0.0000  0.5000  0.0000 [1 per cell]
Br  0.5000  0.0000  0.0000 [1 per cell]
Br  0.5000  0.5000  0.5000 [1 per cell]

***

No. 2
SrAl2Ag | GGA-PBE | relaxed

Computed properties:
Calculated total energy ... -22.60 eV/cell
Energy of formation ... 17 kJ per mole of atoms

Lattice parameters (Å, degrees): 6.0895 9.9598 3.0680 90.00 91.17 90.00
Space group C2/m (No. 12)
Inequivalent atoms, fractional coordinates:
Sr  0.0000  0.0000  0.0000 [2 per cell]
Al  0.2500  0.2500  0.5000 [4 per cell]
Ag  0.0000  0.5000  0.0000 [2 per cell]

***

No. 3
HfGaNO2 | GGA-PBE | relaxed

Computed properties:
Uncorrected formation energy ... -1171 meV/atom
Calculated total energy ... -37.08 eV/cell

Lattice parameters (Å, degrees): 4.0507 4.0507 4.3560 90.00 90.00 90.00
Space group P4/mmm (No. 123)
Inequivalent atoms, fractional coordinates:
Hf  0.0000  0.0000  0.0000 [1 per cell]
Ga  0.5000  0.5000  0.5000 [1 per cell]
N  0.0000  0.0000  0.5000 [1 per cell]
O  0.0000  0.5000  0.0000 [2 per cell]

***

No. 4
Sr3MgZr | GGA-PBE | relaxed

Computed properties:
Calculated total energy ... -10.97 eV/cell
Energy above the most stable polymorph in this dataset ... 0.028 eV per atom
Energy of formation ... 81 kJ per mole of atoms

Lattice parameters (Å, degrees): 6.2119 6.2119 6.2119 90.00 90.00 90.00
Space group Pm-3m (No. 221)
Inequivalent atoms, fractional coordinates:
Sr  0.0000  0.0000  0.5000 [3 per cell]
Mg  0.0000  0.0000  0.0000 [1 per cell]
Zr  0.5000  0.5000  0.5000 [1 per cell]

***

Number 1: density 4.5 g/cm3. Number 2: density 4.5 g/cm3. Number 3: density 6.8 g/cm3. Number 4: density 2.6 g/cm3.